CeThPb PBE relaxed; energy above the most stable polymorph in this dataset = 77 meV/atom; energy of formation = -193 meV/atom; M_tot = 0.70 μB per formula unit; DOS(E_F) = 6.46 states/eV/f.u.
1.0
-2.151 2.151 4.912
2.151 -2.151 4.912
2.151 2.151 -4.912
Ce Th Pb
1 1 1
direct
0.000 0.000 0.000
0.291 0.291 0.000
0.644 0.644 0.000